[1]
A relaxed AlCr2Rh crystal. Source: Alexandria via LeMat-Bulk, functional GGA-PBE.

Geometry as CIF:
```
data_AlCr2Rh
_chemical_formula_sum 'Al1 Cr2 Rh1'
_symmetry_space_group_name_H-M 'P 1 m 1'
_symmetry_Int_Tables_number 6
_symmetry_space_group_name_Hall 'P -2y'
_cell_length_a 2.959
_cell_length_b 2.959
_cell_length_c 5.911
_cell_angle_alpha 90.00
_cell_angle_beta 90.86
_cell_angle_gamma 90.00
loop_
_atom_site_label
_atom_site_fract_x
_atom_site_fract_y
_atom_site_fract_z
_atom_site_occupancy
Al1 0.000 0.000 0.000 1
Cr1 0.027 0.000 0.535 1
Cr2 0.491 0.500 0.730 1
Rh1 0.505 0.500 0.244 1
```

---

[2]
A relaxed AlCr2Rh crystal. Source: Alexandria via LeMat-Bulk, functional GGA-PBE.

Geometry as CIF:
```
data_AlCr2Rh
_chemical_formula_sum 'Al2 Cr4 Rh2'
_symmetry_space_group_name_H-M 'C 1 2/m 1'
_symmetry_Int_Tables_number 12
_symmetry_space_group_name_Hall '-C 2y'
_cell_length_a 4.848
_cell_length_b 8.383
_cell_length_c 2.621
_cell_angle_alpha 90.00
_cell_angle_beta 103.88
_cell_angle_gamma 90.00
loop_
_atom_site_label
_atom_site_fract_x
_atom_site_fract_y
_atom_site_fract_z
_atom_site_occupancy
Al1 0.000 0.000 0.000 1
Cr1 0.250 0.250 0.500 1
Rh1 0.000 0.500 0.000 1
```

---

[3]
A relaxed AlCr2Rh crystal. Source: Alexandria via LeMat-Bulk, functional GGA-PBE.

Geometry as CIF:
```
data_AlCr2Rh
_chemical_formula_sum 'Al2 Cr4 Rh2'
_symmetry_space_group_name_H-M 'I m m m'
_symmetry_Int_Tables_number 71
_symmetry_space_group_name_Hall '-I 2 2'
_cell_length_a 2.997
_cell_length_b 3.941
_cell_length_c 8.618
_cell_angle_alpha 90.00
_cell_angle_beta 90.00
_cell_angle_gamma 90.00
loop_
_atom_site_label
_atom_site_fract_x
_atom_site_fract_y
_atom_site_fract_z
_atom_site_occupancy
Al1 0.000 0.000 0.000 1
Cr1 0.000 0.500 0.251 1
Rh1 0.000 0.000 0.500 1
```

---

[4]
A relaxed AlCr2Rh crystal. Source: Alexandria via LeMat-Bulk, functional GGA-PBE.

Geometry as CIF:
```
data_AlCr2Rh
_chemical_formula_sum 'Al2 Cr4 Rh2'
_symmetry_space_group_name_H-M 'I m m 2'
_symmetry_Int_Tables_number 44
_symmetry_space_group_name_Hall 'I 2 -2'
_cell_length_a 3.067
_cell_length_b 4.286
_cell_length_c 8.090
_cell_angle_alpha 90.00
_cell_angle_beta 90.00
_cell_angle_gamma 90.00
loop_
_atom_site_label
_atom_site_fract_x
_atom_site_fract_y
_atom_site_fract_z
_atom_site_occupancy
Al1 0.000 0.000 0.000 1
Cr1 0.000 0.000 0.482 1
Cr2 0.000 0.500 0.767 1
Rh1 0.000 0.500 0.244 1
```

---

[5]
A relaxed AlCr2Rh crystal. Source: Alexandria via LeMat-Bulk, functional GGA-PBE.

Geometry as CIF:
```
data_AlCr2Rh
_chemical_formula_sum 'Al1 Cr2 Rh1'
_symmetry_space_group_name_H-M 'P m m m'
_symmetry_Int_Tables_number 47
_symmetry_space_group_name_Hall '-P 2 2'
_cell_length_a 3.135
_cell_length_b 3.922
_cell_length_c 4.356
_cell_angle_alpha 90.00
_cell_angle_beta 90.00
_cell_angle_gamma 90.00
loop_
_atom_site_label
_atom_site_fract_x
_atom_site_fract_y
_atom_site_fract_z
_atom_site_occupancy
Al1 0.000 0.000 0.000 1
Cr1 0.000 0.500 0.500 1
Cr2 0.500 0.000 0.500 1
Rh1 0.500 0.500 0.000 1
```

---

[6]
A relaxed Al3CrRh4 crystal. Source: Alexandria via LeMat-Bulk, functional GGA-PBE.

Geometry as CIF:
```
data_Al3CrRh4
_chemical_formula_sum 'Al3 Cr1 Rh4'
_symmetry_space_group_name_H-M 'P m m m'
_symmetry_Int_Tables_number 47
_symmetry_space_group_name_Hall '-P 2 2'
_cell_length_a 3.004
_cell_length_b 4.274
_cell_length_c 8.523
_cell_angle_alpha 90.00
_cell_angle_beta 90.00
_cell_angle_gamma 90.00
loop_
_atom_site_label
_atom_site_fract_x
_atom_site_fract_y
_atom_site_fract_z
_atom_site_occupancy
Al1 0.000 0.000 0.000 1
Al2 0.000 0.500 0.254 1
Cr1 0.000 0.000 0.500 1
Rh1 0.500 0.000 0.245 1
Rh2 0.500 0.500 0.000 1
Rh3 0.500 0.500 0.500 1
```

---

[7]
A relaxed AlCr2Rh crystal. Source: Alexandria via LeMat-Bulk, functional GGA-PBE.

Geometry as CIF:
```
data_AlCr2Rh
_chemical_formula_sum 'Al1 Cr2 Rh1'
_symmetry_space_group_name_H-M 'P 1 2/m 1'
_symmetry_Int_Tables_number 10
_symmetry_space_group_name_Hall '-P 2y'
_cell_length_a 2.627
_cell_length_b 4.091
_cell_length_c 4.881
_cell_angle_alpha 90.00
_cell_angle_beta 99.83
_cell_angle_gamma 90.00
loop_
_atom_site_label
_atom_site_fract_x
_atom_site_fract_y
_atom_site_fract_z
_atom_site_occupancy
Al1 0.000 0.000 0.000 1
Cr1 0.497 0.500 0.232 1
Rh1 0.000 0.000 0.500 1
```

---

[8]
A relaxed AlCr2Rh crystal. Source: Alexandria via LeMat-Bulk, functional GGA-PBE.

Geometry as CIF:
```
data_AlCr2Rh
_chemical_formula_sum 'Al2 Cr4 Rh2'
_symmetry_space_group_name_H-M 'C m m m'
_symmetry_Int_Tables_number 65
_symmetry_space_group_name_Hall '-C 2 2'
_cell_length_a 4.846
_cell_length_b 8.187
_cell_length_c 2.618
_cell_angle_alpha 90.00
_cell_angle_beta 90.00
_cell_angle_gamma 90.00
loop_
_atom_site_label
_atom_site_fract_x
_atom_site_fract_y
_atom_site_fract_z
_atom_site_occupancy
Al1 0.000 0.000 0.000 1
Cr1 0.250 0.250 0.500 1
Rh1 0.000 0.500 0.000 1
```

---

[9]
A relaxed AlCrTcRh crystal. Source: Alexandria via LeMat-Bulk, functional GGA-PBE.

Geometry as CIF:
```
data_AlCrTcRh
_chemical_formula_sum 'Al4 Cr4 Tc4 Rh4'
_symmetry_space_group_name_H-M 'F -4 3 m'
_symmetry_Int_Tables_number 216
_symmetry_space_group_name_Hall 'F -4 2 3'
_cell_length_a 6.012
_cell_length_b 6.012
_cell_length_c 6.012
_cell_angle_alpha 90.00
_cell_angle_beta 90.00
_cell_angle_gamma 90.00
loop_
_atom_site_label
_atom_site_fract_x
_atom_site_fract_y
_atom_site_fract_z
_atom_site_occupancy
Al1 0.000 0.000 0.000 1
Cr1 0.000 0.000 0.500 1
Tc1 0.250 0.250 0.750 1
Rh1 0.250 0.250 0.250 1
```

---

[10]
A relaxed AlTlCrRh2 crystal. Source: Alexandria via LeMat-Bulk, functional GGA-PBE.

Geometry as CIF:
```
data_AlTlCrRh2
_chemical_formula_sum 'Al1 Tl1 Cr1 Rh2'
_symmetry_space_group_name_H-M 'P 4/m m m'
_symmetry_Int_Tables_number 123
_symmetry_space_group_name_Hall '-P 4 2'
_cell_length_a 4.944
_cell_length_b 4.944
_cell_length_c 4.786
_cell_angle_alpha 90.00
_cell_angle_beta 90.00
_cell_angle_gamma 90.00
loop_
_atom_site_label
_atom_site_fract_x
_atom_site_fract_y
_atom_site_fract_z
_atom_site_occupancy
Al1 0.000 0.000 0.000 1
Tl1 0.000 0.000 0.500 1
Cr1 0.500 0.500 0.000 1
Rh1 0.000 0.500 0.500 1
```

---

[11]
A relaxed Y2AlCrRh crystal. Source: Alexandria via LeMat-Bulk, functional GGA-PBE.

Geometry as CIF:
```
data_Y2AlCrRh
_chemical_formula_sum 'Y2 Al1 Cr1 Rh1'
_symmetry_space_group_name_H-M 'P 4/m m m'
_symmetry_Int_Tables_number 123
_symmetry_space_group_name_Hall '-P 4 2'
_cell_length_a 5.380
_cell_length_b 5.380
_cell_length_c 4.490
_cell_angle_alpha 90.00
_cell_angle_beta 90.00
_cell_angle_gamma 90.00
loop_
_atom_site_label
_atom_site_fract_x
_atom_site_fract_y
_atom_site_fract_z
_atom_site_occupancy
Y1 0.000 0.500 0.000 1
Al1 0.000 0.000 0.000 1
Cr1 0.000 0.000 0.500 1
Rh1 0.500 0.500 0.500 1
```

---

[12]
A relaxed AlZnCrRh crystal. Source: Alexandria via LeMat-Bulk, functional GGA-PBE.

Geometry as CIF:
```
data_AlZnCrRh
_chemical_formula_sum 'Al4 Zn4 Cr4 Rh4'
_symmetry_space_group_name_H-M 'F -4 3 m'
_symmetry_Int_Tables_number 216
_symmetry_space_group_name_Hall 'F -4 2 3'
_cell_length_a 6.057
_cell_length_b 6.057
_cell_length_c 6.057
_cell_angle_alpha 90.00
_cell_angle_beta 90.00
_cell_angle_gamma 90.00
loop_
_atom_site_label
_atom_site_fract_x
_atom_site_fract_y
_atom_site_fract_z
_atom_site_occupancy
Al1 0.000 0.000 0.000 1
Zn1 0.000 0.000 0.500 1
Cr1 0.250 0.250 0.750 1
Rh1 0.250 0.250 0.250 1
```

---

In the order shown, the computed formation energy from the elements values come out to -29, -10, -26, -19, -31, -79, -13, -9, -35, 188, 69, -36 kJ per mole of atoms.
In the order shown, the computed calculated volume values come out to 52, 103, 102, 106, 54, 109, 52, 104, 217, 117, 130, 222 Å³/cell.